(1)
## ZnPd6Rh (PBE)

Data for ZnPd6Rh after structural relaxation.

Cell: 4.9942 4.9993 5.0188 Å, 92.86 92.88 92.91°
Space group P-1 (No. 2)
Asymmetric unit:
Zn 0.0000 0.0000 0.0000
Pd 0.0284 0.7493 0.4580
Pd 0.2509 0.5406 0.9702
Pd 0.4623 0.0271 0.7491
Rh 0.5000 0.5000 0.5000

**Energy relative to the elements**: 0.21 kcal/mol of atoms
**Calculated volume**: 124.8 Å³ per cell
**Density of states at the Fermi level**: 12.87 states/eV/cell
**Calculated total energy**: -39.7 eV/cell
**Crystal system**: triclinic


(2)
## Zn2PdRh2 (PBE)

Data for Zn2PdRh2 after structural relaxation.

Cell: 6.9544 6.9544 3.0168 Å, 90.00 90.00 90.00°
Space group P4/mbm (No. 127)
Asymmetric unit:
Zn 0.1340 0.3660 0.0000
Pd 0.0000 0.0000 0.0000
Rh 0.1642 0.6642 0.5000

**Energy relative to the elements**: -3.92 kcal/mol of atoms
**Calculated volume**: 145.9 Å³ per cell
**E above lowest polymorph**: 0 meV/atom
**Density of states at the Fermi level**: 10.68 states/eV/cell
**Calculated total energy**: -46.6 eV/cell
**Crystal system**: tetragonal


(3)
## Zn2Pd2Rh (PBE)

Data for Zn2Pd2Rh after structural relaxation.

Cell: 2.9381 17.3060 2.9318 Å, 90.00 90.00 90.00°
Space group Cmmm (No. 65)
Asymmetric unit:
Zn 0.0000 0.0919 0.0000
Pd 0.0000 0.3169 0.5000
Rh 0.0000 0.5000 0.5000

**Energy relative to the elements**: -7.29 kcal/mol of atoms
**Calculated volume**: 149.1 Å³ per cell
**E above lowest polymorph**: 0 meV/atom
**Density of states at the Fermi level**: 7.46 states/eV/cell
**Calculated total energy**: -43.7 eV/cell
**Crystal system**: orthorhombic